VASP calculation (PBE) on crystalline HfZnTe at its relaxed geometry.

Cell: 4.735 4.735 4.735 Å, 60.00 60.00 60.00°
Sites, in units of the cell vectors:
Hf (0.000, 0.000, 0.000)
Zn (0.500, 0.500, 0.500)
Te (0.250, 0.250, 0.250)

Properties
Final energy, eV per cell: -13.44
SG: F-43m (216)


VASP calculation (PBE) on crystalline HfZn2Te2 at its relaxed geometry.

Cell: 5.397 5.397 5.397 Å, 123.22 123.22 84.51°
Sites, in units of the cell vectors:
Hf (0.000, 0.000, 0.000)
Zn (0.356, 0.356, 0.000)
Zn (0.644, 0.644, 0.000)
Te (0.250, 0.750, 0.500)
Te (0.750, 0.250, 0.500)

Properties
Final energy, eV per cell: -18.16
SG: I4/mmm (139)